First-principles (PBE+U) data for crystalline CrIrF2 at its relaxed geometry, as listed in the Alexandria database.

Theoretical density = 6.88 Mg/m³
Volume = 68 Å³/f.u.
Symmetry = I-42d, No. 122
DOS at the Fermi energy = 1.5410 states/eV/atom
VASP energy = -38.56 eV per cell

Lattice parameters (Å, degrees): 5.2932 5.2932 6.1362 64.45 64.45 90.00
Site moments in Bohr magnetons follow the coordinates.
Positions (direct):
F 0.5433 0.1250 0.2500  -0.03
F 0.8750 0.7933 0.7500  -0.03
Ir 0.7500 0.2500 0.5000  -1.76
Cr 0.2500 0.7500 0.5000  1.96
Cr 0.5000 0.5000 0.0000  1.96
F 0.3750 0.4567 0.7500  -0.03
Ir 0.0000 0.0000 0.0000  -1.76
F 0.2067 0.6250 0.2500  -0.03